Be16V2Cu: optimized geometry, GGA-PBE.

For the total magnetization, the calculation gives 0.0000 μB/atom. As for the density of states at the Fermi level: 5.70 states/eV/f.u. Its calculated total energy is -84.558 eV per formula unit.

a b c (Å): 7.2933 7.2933 10.6668
angles (deg): 90.00 90.00 120.00
Last column: nearest neighbours and their distance in Å.
Space group R3m (No. 160, hexagonal axes)
Inequivalent atoms, fractional coordinates:
Be 0.0000 0.0000 0.0480 x3  1 Cu 2.17, 6 Be 2.18-2.28
Be 0.0003 0.3035 0.1554 x18  8 Be 2.10-2.22
Be 0.0033 0.5016 0.6549 x9  9 Be 2.10-2.18, 1 Cu 2.26
Be 0.0069 0.5035 0.3103 x9  9 Be 2.07-2.28
Be 0.1717 0.3434 0.3333 x9  8 Be 2.07-2.21
V 0.0000 0.0000 0.4985 x3  18 Be 2.55-2.84, 1 Cu 2.64
V 0.0000 0.0000 0.8176 x3  13 Be 2.46-2.74
Cu 0.0000 0.0000 0.2510 x3  7 Be 2.17-2.34